Record 1
Density functional theory data (PBE-GGA) for a relaxed Ta5C crystal.

Cell lengths 5.2115, 5.2115, 5.0827 Å; angles 90.00, 90.00, 120.00 degrees
Closest atoms and distances in Å follow each position.
Element x y z (fractional)
Ta 0.0000 0.5000 0.0000  4 Ta 2.61
Ta 0.3333 0.6667 0.5000  9 Ta 2.95-3.01, 3 C 3.01
Ta 0.5000 0.0000 0.0000  4 Ta 2.61
Ta 0.5000 0.5000 0.0000  4 Ta 2.61
Ta 0.6667 0.3333 0.5000  9 Ta 2.95-3.01, 3 C 3.01
C 0.0000 0.0000 0.5000  6 Ta 3.01

Space group: P6/mmm, No. 191
Raw total energy, eV per formula unit: -57.875

***

Record 2
Density functional theory data (PBE-GGA) for a relaxed YTaTe2C crystal.

Cell lengths 3.4892, 3.4892, 11.1712 Å; angles 90.00, 90.00, 120.00 degrees
Closest atoms and distances in Å follow each position.
Element x y z (fractional)
Y 0.0000 0.0000 0.0000  3 C 2.50
Ta 0.6667 0.3333 0.7756  3 C 2.26
Te 0.0000 0.0000 0.5942  3 Ta 2.86
Te 0.6667 0.3333 0.2184  3 Y 3.16, 6 Te 3.49
C 0.3333 0.6667 0.8668  3 Ta 2.26, 3 Y 2.50

Space group: P3m1, No. 156
Raw total energy, eV per formula unit: -36.587

***

Record 3
Density functional theory data (PBE-GGA) for a relaxed TaTl2C crystal.

Cell lengths 3.2657, 3.2657, 15.9325 Å; angles 90.00, 90.00, 120.00 degrees
Closest atoms and distances in Å follow each position.
Element x y z (fractional)
Ta 0.3333 0.6667 0.2500  6 Tl 3.04, 6 Ta 3.27
Ta 0.6667 0.3333 0.7500  6 Tl 3.04, 6 Ta 3.27
Tl 0.3333 0.6667 0.6002  3 C 2.47
Tl 0.3333 0.6667 0.8998  3 C 2.47
Tl 0.6667 0.3333 0.1002  3 C 2.47
Tl 0.6667 0.3333 0.3998  3 C 2.47
C 0.0000 0.0000 0.0000  6 Tl 2.47
C 0.0000 0.0000 0.5000  6 Tl 2.47

Space group: P6_3/mmc, No. 194
Raw total energy, eV per formula unit: -20.024

***

Record 4
Density functional theory data (PBE-GGA) for a relaxed Ta4Tl3W2C3 crystal.

Cell lengths 5.5763, 5.5763, 14.5474 Å; angles 101.03, 101.03, 59.99 degrees
Closest atoms and distances in Å follow each position.
Element x y z (fractional)
Ta 0.0214 0.1991 0.0808  3 C 2.17-2.19
Ta 0.1456 0.3058 0.4191  3 C 2.17-2.19
Ta 0.1991 0.0214 0.5808  3 C 2.17-2.19
Ta 0.3058 0.1456 0.9191  3 C 2.17-2.19
Ta 0.6942 0.8544 0.0809  3 C 2.17-2.19
Ta 0.8009 0.9786 0.4192  3 C 2.17-2.19
Ta 0.8544 0.6942 0.5809  3 C 2.17-2.19
Ta 0.9786 0.8009 0.9192  3 C 2.17-2.19
Tl 0.0891 0.9109 0.2500  4 Ta 3.05, 2 W 3.08, 6 Tl 3.15-3.25
Tl 0.2579 0.4150 0.7486  4 Ta 3.04-3.05, 2 W 3.05-3.06, 6 Tl 3.15-3.25
Tl 0.4150 0.2579 0.2486  4 Ta 3.04-3.05, 2 W 3.05-3.06, 6 Tl 3.15-3.25
Tl 0.5850 0.7421 0.7514  4 Ta 3.04-3.05, 2 W 3.05-3.06, 6 Tl 3.15-3.25
Tl 0.7421 0.5850 0.2514  4 Ta 3.04-3.05, 2 W 3.05-3.06, 6 Tl 3.15-3.25
Tl 0.9109 0.0891 0.7500  4 Ta 3.05, 2 W 3.08, 6 Tl 3.15-3.25
W 0.3650 0.5255 0.0765  3 C 2.16-2.18
W 0.4745 0.6350 0.4235  3 C 2.16-2.18
W 0.5255 0.3650 0.5765  3 C 2.16-2.18
W 0.6350 0.4745 0.9235  3 C 2.16-2.18
C 0.0000 0.5000 0.0000  4 Ta 2.17, 2 W 2.18
C 0.1608 0.6694 0.5000  2 W 2.16, 4 Ta 2.17-2.19
C 0.3306 0.8392 0.0000  2 W 2.16, 4 Ta 2.17-2.19
C 0.5000 0.0000 0.5000  4 Ta 2.17, 2 W 2.18
C 0.6694 0.1608 0.0000  2 W 2.16, 4 Ta 2.17-2.19
C 0.8392 0.3306 0.5000  2 W 2.16, 4 Ta 2.17-2.19

Space group: C2/c, No. 15
Raw total energy, eV per formula unit: -108.308

***

Record 5
Density functional theory data (PBE-GGA) for a relaxed Ta4TlZnC2 crystal.

Cell lengths 3.1648, 3.1648, 14.1118 Å; angles 90.00, 90.00, 120.00 degrees
Closest atoms and distances in Å follow each position.
Element x y z (fractional)
Ta 0.0000 0.0000 0.1564  3 C 2.18
Ta 0.0000 0.0000 0.8436  3 C 2.18
Ta 0.3333 0.6667 0.3261  3 C 2.19
Ta 0.3333 0.6667 0.6739  3 C 2.19
Tl 0.0000 0.0000 0.5000  6 Ta 3.06, 6 Tl 3.16
Zn 0.3333 0.6667 0.0000  6 Ta 2.87, 6 Zn 3.16
C 0.6667 0.3333 0.2405  6 Ta 2.18-2.19
C 0.6667 0.3333 0.7595  6 Ta 2.18-2.19

Space group: P-6m2, No. 187
Raw total energy, eV per formula unit: -71.942

***

Record 6
Density functional theory data (PBE-GGA) for a relaxed Zr2Ta4Tl3C3 crystal.

Cell lengths 5.6289, 5.6289, 15.1012 Å; angles 100.85, 100.85, 60.00 degrees
Closest atoms and distances in Å follow each position.
Element x y z (fractional)
Zr 0.0310 0.8693 0.5897  3 C 2.31-2.32
Zr 0.1307 0.9690 0.9103  3 C 2.31-2.32
Zr 0.8693 0.0310 0.0897  3 C 2.31-2.32
Zr 0.9690 0.1307 0.4103  3 C 2.31-2.32
Ta 0.1932 0.3526 0.0783  3 C 2.19-2.20
Ta 0.3000 0.4810 0.4217  3 C 2.19-2.20
Ta 0.3526 0.1932 0.5783  3 C 2.19-2.20
Ta 0.4810 0.3000 0.9217  3 C 2.19-2.20
Ta 0.5190 0.7000 0.0783  3 C 2.19-2.20
Ta 0.6474 0.8068 0.4217  3 C 2.19-2.20
Ta 0.7000 0.5190 0.5783  3 C 2.19-2.20
Ta 0.8068 0.6474 0.9217  3 C 2.19-2.20
Tl 0.0852 0.2672 0.7521  2 Zr 3.07-3.08, 4 Ta 3.11-3.13, 6 Tl 3.17-3.42
Tl 0.2672 0.0852 0.2521  2 Zr 3.07-3.08, 4 Ta 3.11-3.13, 6 Tl 3.17-3.42
Tl 0.4347 0.5653 0.7500  2 Zr 3.09, 4 Ta 3.13-3.14, 6 Tl 3.17-3.42
Tl 0.5653 0.4347 0.2500  2 Zr 3.09, 4 Ta 3.13-3.14, 6 Tl 3.17-3.42
Tl 0.7328 0.9148 0.7479  2 Zr 3.07-3.08, 4 Ta 3.11-3.13, 6 Tl 3.17-3.42
Tl 0.9148 0.7328 0.2479  2 Zr 3.07-3.08, 4 Ta 3.11-3.13, 6 Tl 3.17-3.42
C 0.0000 0.5000 0.5000  4 Ta 2.19, 2 Zr 2.32
C 0.1713 0.6566 0.0000  4 Ta 2.19-2.20, 2 Zr 2.31-2.32
C 0.3434 0.8287 0.5000  4 Ta 2.19-2.20, 2 Zr 2.31-2.32
C 0.5000 0.0000 0.0000  4 Ta 2.19, 2 Zr 2.32
C 0.6566 0.1713 0.5000  4 Ta 2.19-2.20, 2 Zr 2.31-2.32
C 0.8287 0.3434 0.0000  4 Ta 2.19-2.20, 2 Zr 2.31-2.32

Space group: C2/c, No. 15
Raw total energy, eV per formula unit: -103.909

***

Record 7
Density functional theory data (PBE-GGA) for a relaxed TmTaC2 crystal.

Cell lengths 5.6889, 3.4417, 11.0250 Å; angles 90.00, 90.00, 90.00 degrees
Closest atoms and distances in Å follow each position.
Element x y z (fractional)
Tm 0.0853 0.2500 0.1398  7 C 2.46-2.63
Tm 0.4147 0.7500 0.6398  7 C 2.46-2.63
Tm 0.5853 0.2500 0.3602  7 C 2.46-2.63
Tm 0.9147 0.7500 0.8602  7 C 2.46-2.63
Ta 0.0964 0.7500 0.3938  5 C 2.13-2.27
Ta 0.4036 0.2500 0.8938  5 C 2.13-2.27
Ta 0.5964 0.7500 0.1062  5 C 2.13-2.27
Ta 0.9036 0.2500 0.6062  5 C 2.13-2.27
C 0.1483 0.2500 0.7526  2 Ta 2.13
C 0.2286 0.2500 0.4864  3 Ta 2.14-2.27
C 0.2714 0.7500 0.9864  3 Ta 2.14-2.27
C 0.3517 0.7500 0.2526  2 Ta 2.13
C 0.6483 0.2500 0.7474  2 Ta 2.13
C 0.7286 0.2500 0.0136  3 Ta 2.14-2.27
C 0.7714 0.7500 0.5136  3 Ta 2.14-2.27
C 0.8517 0.7500 0.2474  2 Ta 2.13

Space group: Pnma, No. 62
Raw total energy, eV per formula unit: -36.702

***

Record 8
Density functional theory data (PBE-GGA) for a relaxed Y2TaWC6 crystal.

Cell lengths 6.5222, 6.5222, 6.5222 Å; angles 47.61, 47.61, 47.61 degrees
Closest atoms and distances in Å follow each position.
Element x y z (fractional)
Y 0.2486 0.2486 0.2486  6 C 2.63
Y 0.7514 0.7514 0.7514  6 C 2.63
Ta 0.5000 0.5000 0.5000  6 C 2.13
W 0.0000 0.0000 0.0000  6 C 2.07
C 0.2346 0.7558 0.7558  1 W 2.07, 1 Ta 2.13
C 0.2442 0.2442 0.7654  1 W 2.07, 1 Ta 2.13
C 0.2442 0.7654 0.2442  1 W 2.07, 1 Ta 2.13
C 0.7558 0.2346 0.7558  1 W 2.07, 1 Ta 2.13
C 0.7558 0.7558 0.2346  1 W 2.07, 1 Ta 2.13
C 0.7654 0.2442 0.2442  1 W 2.07, 1 Ta 2.13

Space group: R-3m, No. 166
Raw total energy, eV per formula unit: -86.095

***

Record 9
Density functional theory data (PBE-GGA) for a relaxed Y2Ta4Zn3C3 crystal.

Cell lengths 5.6128, 5.6128, 14.2901 Å; angles 101.64, 101.64, 60.03 degrees
Closest atoms and distances in Å follow each position.
Element x y z (fractional)
Y 0.0405 0.8786 0.6170  3 C 2.50-2.51
Y 0.1214 0.9595 0.8830  3 C 2.50-2.51
Y 0.8786 0.0405 0.1170  3 C 2.50-2.51
Y 0.9595 0.1214 0.3830  3 C 2.50-2.51
Ta 0.1929 0.3509 0.0805  3 C 2.15-2.19
Ta 0.2955 0.4847 0.4195  3 C 2.15-2.19
Ta 0.3509 0.1929 0.5805  3 C 2.15-2.19
Ta 0.4847 0.2955 0.9195  3 C 2.15-2.19
Ta 0.5153 0.7045 0.0805  3 C 2.15-2.19
Ta 0.6491 0.8071 0.4195  3 C 2.15-2.19
Ta 0.7045 0.5153 0.5805  3 C 2.15-2.19
Ta 0.8071 0.6491 0.9195  3 C 2.15-2.19
Zn 0.0861 0.4029 0.7517  4 Zn 2.81, 4 Ta 2.85-2.86
Zn 0.4029 0.0861 0.2517  4 Zn 2.81, 4 Ta 2.85-2.86
Zn 0.4270 0.5730 0.2500  4 Zn 2.81, 4 Ta 2.87-2.88
Zn 0.5730 0.4270 0.7500  4 Zn 2.81, 4 Ta 2.87-2.88
Zn 0.5971 0.9139 0.7483  4 Zn 2.81, 4 Ta 2.85-2.86
Zn 0.9139 0.5971 0.2483  4 Zn 2.81, 4 Ta 2.85-2.86
C 0.0000 0.5000 0.5000  4 Ta 2.16
C 0.1728 0.6544 0.0000  4 Ta 2.15-2.19
C 0.3456 0.8272 0.5000  4 Ta 2.15-2.19
C 0.5000 0.0000 0.0000  4 Ta 2.16
C 0.6544 0.1728 0.5000  4 Ta 2.15-2.19
C 0.8272 0.3456 0.0000  4 Ta 2.15-2.19

Space group: C2/c, No. 15
Raw total energy, eV per formula unit: -97.617

***

Summary of magnetization in μB/atom
0.05 0.00 0.00 0.00 0.00 0.00 0.00 0.00 0.00
(order as listed above)
Summary of density in Mg/m³
12.733 7.571 13.580 15.131 13.805 12.772 11.505 7.368 9.928
(order as listed above)